Below is a relaxed UGeRuRh crystal, with properties calculated at the PBE level.

```
UGeRuRh
1.0
0.000 3.255 3.255
3.255 0.000 3.255
3.255 3.255 0.000
U Ge Ru Rh
1 1 1 1
Direct
0.000 0.000 0.000
0.500 0.500 0.500
0.250 0.250 0.250
0.750 0.750 0.750
```

Formation enthalpy at 0 K ... -314.6 meV per atom
SG ... No. 216